Below is HfVCu after structural relaxation, with properties calculated at the PBE level.

a b c (Å): 3.1034 3.1034 10.0253
angles (deg): 90.00 90.00 90.00
Last column: nearest neighbours and their distance in Å.
Space group I4mm (No. 107)
One atom of each set of equivalent atoms:
Hf 0.0000 0.0000 0.0000 x2  4 V 2.85, 5 Cu 2.87-3.17, 4 Hf 3.10
V 0.0000 0.0000 0.6811 x2  4 Cu 2.58, 4 Hf 2.85
Cu 0.0000 0.0000 0.3161 x2  4 V 2.58, 4 Hf 2.87

Summary:
- Raw total energy: -45.713 eV for the cell shown
- V: 48.3 Å³/f.u.
- DOS at the Fermi energy: 7.5 states/eV per cell

***

Below is Pr6Sm8Sn after structural relaxation, with properties calculated at the PBE level.

a b c (Å): 9.4825 9.4825 6.6751
angles (deg): 90.00 90.00 120.00
Last column: nearest neighbours and their distance in Å.
Space group P-3 (No. 147)
One atom of each set of equivalent atoms:
Pr 0.0898 0.6463 0.1714 x6  1 Pr 3.33, 5 Sm 3.38-3.73
Sm 0.0388 0.7750 0.6820 x6  1 Sn 3.16, 3 Sm 3.37-3.44, 1 Pr 3.38
Sm 0.3333 0.6667 0.6350 x2  3 Sm 3.44, 6 Pr 3.81-3.83
Sn 0.0000 0.0000 0.0000 x1  6 Sm 3.16

Summary:
- Raw total energy: -70.131 eV for the cell shown
- V: 519.8 Å³/f.u.
- DOS at the Fermi energy: 19.3 states/eV per cell

***

Q: What is the formula in the first record?
A: HfVCu